Entry 1:
! Ti3Rh5 GGA-PBE optimized geometry; values from VASP
! DOS(E_F) ... 0.62 states/eV/atom
! M_tot ... 0.00 Bohr magnetons per cell
&SYSTEM
  ibrav = 0, nat = 16, ntyp = 2
/
ATOMIC_SPECIES
Ti 47.87 Ti.upf
Rh 102.91 Rh.upf
CELL_PARAMETERS angstrom
5.410 0.000 0.000
0.000 10.525 0.000
0.000 0.000 4.123
ATOMIC_POSITIONS crystal
Ti 0.000 0.000 0.000
Ti 0.161 0.356 0.500
Ti 0.339 0.856 0.500
Ti 0.500 0.500 0.000
Ti 0.661 0.144 0.500
Ti 0.839 0.644 0.500
Rh 0.000 0.500 0.000
Rh 0.104 0.764 0.000
Rh 0.187 0.107 0.500
Rh 0.313 0.607 0.500
Rh 0.396 0.264 0.000
Rh 0.500 0.000 0.000
Rh 0.604 0.736 0.000
Rh 0.687 0.393 0.500
Rh 0.813 0.893 0.500
Rh 0.896 0.236 0.000

Entry 2:
! Ti3Rh8 GGA-PBE optimized geometry; values from VASP
! DOS(E_F) ... 1.05 states/eV/atom
! M_tot ... 0.00 Bohr magnetons per cell
&SYSTEM
  ibrav = 0, nat = 11, ntyp = 2
/
ATOMIC_SPECIES
Ti 47.87 Ti.upf
Rh 102.91 Rh.upf
CELL_PARAMETERS angstrom
3.919 2.262 3.324
-3.919 2.262 3.324
0.000 -4.525 3.324
ATOMIC_POSITIONS crystal
Ti 0.000 0.500 0.500
Ti 0.500 0.000 0.500
Ti 0.500 0.500 0.000
Rh 0.108 0.687 0.864
Rh 0.136 0.892 0.313
Rh 0.313 0.136 0.892
Rh 0.374 0.374 0.374
Rh 0.626 0.626 0.626
Rh 0.687 0.864 0.108
Rh 0.864 0.108 0.687
Rh 0.892 0.313 0.136

Entry 3:
! TiRh GGA-PBE optimized geometry; values from VASP
! DOS(E_F) ... 1.23 states/eV/atom
! M_tot ... 0.00 Bohr magnetons per cell
&SYSTEM
  ibrav = 0, nat = 2, ntyp = 2
/
ATOMIC_SPECIES
Ti 47.87 Ti.upf
Rh 102.91 Rh.upf
CELL_PARAMETERS angstrom
3.109 0.000 0.000
0.000 3.109 0.000
0.000 0.000 3.109
ATOMIC_POSITIONS crystal
Ti 0.000 0.000 0.000
Rh 0.500 0.500 0.500

Entry 4:
! TiRh GGA-PBE optimized geometry; values from VASP
! DOS(E_F) ... 0.81 states/eV/atom
! M_tot ... 0.00 Bohr magnetons per cell
&SYSTEM
  ibrav = 0, nat = 16, ntyp = 2
/
ATOMIC_SPECIES
Ti 47.87 Ti.upf
Rh 102.91 Rh.upf
CELL_PARAMETERS angstrom
9.633 0.000 0.000
0.000 9.633 0.000
0.000 0.000 2.962
ATOMIC_POSITIONS crystal
Ti 0.131 0.656 0.000
Ti 0.156 0.369 0.500
Ti 0.344 0.131 0.000
Ti 0.369 0.844 0.500
Ti 0.631 0.156 0.500
Ti 0.656 0.869 0.000
Ti 0.844 0.631 0.500
Ti 0.869 0.344 0.000
Rh 0.080 0.182 0.000
Rh 0.182 0.920 0.000
Rh 0.318 0.580 0.500
Rh 0.420 0.318 0.500
Rh 0.580 0.682 0.500
Rh 0.682 0.420 0.500
Rh 0.818 0.080 0.000
Rh 0.920 0.818 0.000

Entry 5:
! TiTl2Rh2 GGA-PBE optimized geometry; values from VASP
! DOS(E_F) ... 0.36 states/eV/atom
! M_tot ... 0.00 Bohr magnetons per cell
&SYSTEM
  ibrav = 0, nat = 10, ntyp = 3
/
ATOMIC_SPECIES
Ti 47.87 Ti.upf
Tl 204.38 Tl.upf
Rh 102.91 Rh.upf
CELL_PARAMETERS angstrom
6.621 0.000 0.000
0.000 6.621 0.000
0.000 0.000 4.310
ATOMIC_POSITIONS crystal
Ti 0.000 0.000 0.000
Ti 0.500 0.500 0.000
Tl 0.170 0.330 0.500
Tl 0.330 0.830 0.500
Tl 0.670 0.170 0.500
Tl 0.830 0.670 0.500
Rh 0.143 0.643 0.000
Rh 0.357 0.143 0.000
Rh 0.643 0.857 0.000
Rh 0.857 0.357 0.000

Entry 6:
! TiTl3Rh GGA-PBE optimized geometry; values from VASP
! DOS(E_F) ... 1.45 states/eV/atom
! M_tot ... 0.07 Bohr magnetons per cell
! Distance to the lowest polymorph of the same formula ... 0 meV per atom
&SYSTEM
  ibrav = 0, nat = 5, ntyp = 3
/
ATOMIC_SPECIES
Ti 47.87 Ti.upf
Tl 204.38 Tl.upf
Rh 102.91 Rh.upf
CELL_PARAMETERS angstrom
5.170 0.000 0.000
0.000 5.170 0.000
0.000 0.000 5.170
ATOMIC_POSITIONS crystal
Ti 0.000 0.000 0.000
Tl 0.000 0.500 0.500
Tl 0.500 0.000 0.500
Tl 0.500 0.500 0.000
Rh 0.500 0.500 0.500

Entry 7:
! TiTl3Rh GGA-PBE optimized geometry; values from VASP
! DOS(E_F) ... 1.19 states/eV/atom
! M_tot ... 0.00 Bohr magnetons per cell
! Distance to the lowest polymorph of the same formula ... 374 meV per atom
&SYSTEM
  ibrav = 0, nat = 5, ntyp = 3
/
ATOMIC_SPECIES
Ti 47.87 Ti.upf
Tl 204.38 Tl.upf
Rh 102.91 Rh.upf
CELL_PARAMETERS angstrom
5.273 0.000 0.000
0.000 5.273 0.000
0.000 0.000 5.273
ATOMIC_POSITIONS crystal
Ti 0.000 0.000 0.000
Tl 0.000 0.000 0.500
Tl 0.000 0.500 0.000
Tl 0.500 0.000 0.000
Rh 0.500 0.500 0.500

Entry 8:
! Ti2TlRh GGA-PBE optimized geometry; values from VASP
! DOS(E_F) ... 1.13 states/eV/atom
! M_tot ... 0.71 Bohr magnetons per cell
&SYSTEM
  ibrav = 0, nat = 4, ntyp = 3
/
ATOMIC_SPECIES
Ti 47.87 Ti.upf
Tl 204.38 Tl.upf
Rh 102.91 Rh.upf
CELL_PARAMETERS angstrom
2.965 0.000 0.000
0.000 2.965 0.000
0.000 0.000 7.987
ATOMIC_POSITIONS crystal
Ti 0.000 0.000 0.213
Ti 0.000 0.000 0.787
Tl 0.500 0.500 0.500
Rh 0.500 0.500 0.000

Entry 9:
! Ti2TlRh2 GGA-PBE optimized geometry; values from VASP
! DOS(E_F) ... 0.91 states/eV/atom
! M_tot ... 0.00 Bohr magnetons per cell
! Distance to the lowest polymorph of the same formula ... 0 meV per atom
&SYSTEM
  ibrav = 0, nat = 10, ntyp = 3
/
ATOMIC_SPECIES
Ti 47.87 Ti.upf
Tl 204.38 Tl.upf
Rh 102.91 Rh.upf
CELL_PARAMETERS angstrom
7.503 0.000 0.000
0.000 7.503 0.000
0.000 0.000 2.998
ATOMIC_POSITIONS crystal
Ti 0.160 0.340 0.000
Ti 0.340 0.840 0.000
Ti 0.660 0.160 0.000
Ti 0.840 0.660 0.000
Tl 0.000 0.000 0.500
Tl 0.500 0.500 0.500
Rh 0.132 0.632 0.500
Rh 0.368 0.132 0.500
Rh 0.632 0.868 0.500
Rh 0.868 0.368 0.500

Entry 10:
! Ti2TlRh GGA-PBE optimized geometry; values from VASP
! DOS(E_F) ... 1.21 states/eV/atom
! M_tot ... 0.00 Bohr magnetons per cell
&SYSTEM
  ibrav = 0, nat = 16, ntyp = 3
/
ATOMIC_SPECIES
Ti 47.87 Ti.upf
Tl 204.38 Tl.upf
Rh 102.91 Rh.upf
CELL_PARAMETERS angstrom
7.378 0.000 0.000
0.000 7.378 0.000
0.000 0.000 5.605
ATOMIC_POSITIONS crystal
Ti 0.200 0.750 0.125
Ti 0.250 0.200 0.875
Ti 0.250 0.300 0.375
Ti 0.300 0.750 0.625
Ti 0.700 0.250 0.625
Ti 0.750 0.700 0.375
Ti 0.750 0.800 0.875
Ti 0.800 0.250 0.125
Tl 0.000 0.000 0.500
Tl 0.000 0.500 0.750
Tl 0.500 0.000 0.250
Tl 0.500 0.500 0.000
Rh 0.000 0.000 0.000
Rh 0.000 0.500 0.250
Rh 0.500 0.000 0.750
Rh 0.500 0.500 0.500

Entry 11:
! TiTl2RhW GGA-PBE optimized geometry; values from VASP
! DOS(E_F) ... 0.99 states/eV/atom
! M_tot ... 0.06 Bohr magnetons per cell
&SYSTEM
  ibrav = 0, nat = 5, ntyp = 4
/
ATOMIC_SPECIES
Ti 47.87 Ti.upf
Tl 204.38 Tl.upf
Rh 102.91 Rh.upf
W 183.84 W.upf
CELL_PARAMETERS angstrom
5.298 0.000 0.000
0.000 5.298 0.000
0.000 0.000 4.576
ATOMIC_POSITIONS crystal
Ti 0.000 0.000 0.000
Tl 0.000 0.500 0.500
Tl 0.500 0.000 0.500
Rh 0.500 0.500 0.000
W 0.000 0.000 0.500

Entry 12:
! ZrTi2TlRh GGA-PBE optimized geometry; values from VASP
! DOS(E_F) ... 1.37 states/eV/atom
! M_tot ... 0.36 Bohr magnetons per cell
&SYSTEM
  ibrav = 0, nat = 5, ntyp = 4
/
ATOMIC_SPECIES
Zr 91.22 Zr.upf
Ti 47.87 Ti.upf
Tl 204.38 Tl.upf
Rh 102.91 Rh.upf
CELL_PARAMETERS angstrom
4.714 0.000 0.000
0.000 4.714 0.000
0.000 0.000 5.119
ATOMIC_POSITIONS crystal
Zr 0.000 0.000 0.000
Ti 0.000 0.500 0.500
Ti 0.500 0.000 0.500
Tl 0.500 0.500 0.000
Rh 0.000 0.000 0.500

Entry 13:
! TmTiRh4 GGA-PBE optimized geometry; values from VASP
! DOS(E_F) ... 0.92 states/eV/atom
! M_tot ... 0.00 Bohr magnetons per cell
! Distance to the lowest polymorph of the same formula ... 163 meV per atom
&SYSTEM
  ibrav = 0, nat = 6, ntyp = 3
/
ATOMIC_SPECIES
Tm 168.93 Tm.upf
Ti 47.87 Ti.upf
Rh 102.91 Rh.upf
CELL_PARAMETERS angstrom
3.021 0.000 0.000
0.000 4.537 0.000
0.000 0.000 7.564
ATOMIC_POSITIONS crystal
Tm 0.000 0.000 0.000
Ti 0.500 0.500 0.500
Rh 0.000 0.500 0.236
Rh 0.000 0.500 0.764
Rh 0.500 0.000 0.311
Rh 0.500 0.000 0.689

Entry 14:
! TmTi4Rh5 GGA-PBE optimized geometry; values from VASP
! DOS(E_F) ... 0.93 states/eV/atom
! M_tot ... 0.00 Bohr magnetons per cell
&SYSTEM
  ibrav = 0, nat = 10, ntyp = 3
/
ATOMIC_SPECIES
Tm 168.93 Tm.upf
Ti 47.87 Ti.upf
Rh 102.91 Rh.upf
CELL_PARAMETERS angstrom
3.114 0.000 0.000
0.000 3.114 0.000
0.000 0.000 16.379
ATOMIC_POSITIONS crystal
Tm 0.000 0.000 0.000
Ti 0.000 0.000 0.214
Ti 0.000 0.000 0.406
Ti 0.000 0.000 0.594
Ti 0.000 0.000 0.786
Rh 0.500 0.500 0.127
Rh 0.500 0.500 0.313
Rh 0.500 0.500 0.500
Rh 0.500 0.500 0.687
Rh 0.500 0.500 0.873

Entry 15:
! Tm3TiRh4 GGA-PBE optimized geometry; values from VASP
! DOS(E_F) ... 0.52 states/eV/atom
! M_tot ... 0.00 Bohr magnetons per cell
&SYSTEM
  ibrav = 0, nat = 8, ntyp = 3
/
ATOMIC_SPECIES
Tm 168.93 Tm.upf
Ti 47.87 Ti.upf
Rh 102.91 Rh.upf
CELL_PARAMETERS angstrom
3.251 0.000 0.000
0.000 3.251 0.000
0.000 0.000 13.763
ATOMIC_POSITIONS crystal
Tm 0.000 0.000 0.000
Tm 0.000 0.000 0.258
Tm 0.000 0.000 0.742
Ti 0.000 0.000 0.500
Rh 0.500 0.500 0.130
Rh 0.500 0.500 0.395
Rh 0.500 0.500 0.605
Rh 0.500 0.500 0.870

Entry 16:
! TmTiRh4 GGA-PBE optimized geometry; values from VASP
! DOS(E_F) ... 1.09 states/eV/atom
! M_tot ... 0.00 Bohr magnetons per cell
! Distance to the lowest polymorph of the same formula ... 34 meV per atom
&SYSTEM
  ibrav = 0, nat = 12, ntyp = 3
/
ATOMIC_SPECIES
Tm 168.93 Tm.upf
Ti 47.87 Ti.upf
Rh 102.91 Rh.upf
CELL_PARAMETERS angstrom
10.101 0.000 0.000
0.000 3.095 0.000
-2.256 0.000 6.235
ATOMIC_POSITIONS crystal
Tm 0.000 0.000 0.000
Tm 0.500 0.500 0.000
Ti 0.000 0.000 0.500
Ti 0.500 0.500 0.500
Rh 0.148 0.500 0.363
Rh 0.170 0.500 0.805
Rh 0.330 0.000 0.195
Rh 0.352 0.000 0.637
Rh 0.648 0.000 0.363
Rh 0.670 0.000 0.805
Rh 0.830 0.500 0.195
Rh 0.852 0.500 0.637

Entry 17:
! TmTiRh4 GGA-PBE optimized geometry; values from VASP
! DOS(E_F) ... 0.72 states/eV/atom
! M_tot ... 0.00 Bohr magnetons per cell
! Distance to the lowest polymorph of the same formula ... 0 meV per atom
&SYSTEM
  ibrav = 0, nat = 6, ntyp = 3
/
ATOMIC_SPECIES
Tm 168.93 Tm.upf
Ti 47.87 Ti.upf
Rh 102.91 Rh.upf
CELL_PARAMETERS angstrom
0.000 3.679 3.679
3.679 0.000 3.679
3.679 3.679 0.000
ATOMIC_POSITIONS crystal
Tm 0.000 0.000 0.000
Ti 0.250 0.250 0.250
Rh 0.125 0.625 0.625
Rh 0.625 0.125 0.625
Rh 0.625 0.625 0.125
Rh 0.625 0.625 0.625

Entry 18:
! Tm4TiRh5 GGA-PBE optimized geometry; values from VASP
! DOS(E_F) ... 0.49 states/eV/atom
! M_tot ... 0.00 Bohr magnetons per cell
&SYSTEM
  ibrav = 0, nat = 10, ntyp = 3
/
ATOMIC_SPECIES
Tm 168.93 Tm.upf
Ti 47.87 Ti.upf
Rh 102.91 Rh.upf
CELL_PARAMETERS angstrom
3.273 0.000 0.000
0.000 3.273 0.000
0.000 0.000 17.178
ATOMIC_POSITIONS crystal
Tm 0.000 0.000 0.102
Tm 0.000 0.000 0.307
Tm 0.000 0.000 0.693
Tm 0.000 0.000 0.898
Ti 0.000 0.000 0.500
Rh 0.500 0.500 0.000
Rh 0.500 0.500 0.206
Rh 0.500 0.500 0.416
Rh 0.500 0.500 0.584
Rh 0.500 0.500 0.794

Entry 19:
! UTiRh6 GGA-PBE optimized geometry; values from VASP
! DOS(E_F) ... 0.71 states/eV/atom
! M_tot ... 0.00 Bohr magnetons per cell
&SYSTEM
  ibrav = 0, nat = 8, ntyp = 3
/
ATOMIC_SPECIES
U 238.03 U.upf
Ti 47.87 Ti.upf
Rh 102.91 Rh.upf
CELL_PARAMETERS angstrom
5.563 0.000 0.000
0.000 5.563 0.000
0.000 0.000 3.947
ATOMIC_POSITIONS crystal
U 0.000 0.000 0.000
Ti 0.500 0.500 0.000
Rh 0.000 0.500 0.000
Rh 0.252 0.252 0.500
Rh 0.252 0.748 0.500
Rh 0.500 0.000 0.000
Rh 0.748 0.252 0.500
Rh 0.748 0.748 0.500

Entry 20:
! UTiRh2 GGA-PBE optimized geometry; values from VASP
! DOS(E_F) ... 1.63 states/eV/atom
! M_tot ... 1.18 Bohr magnetons per cell
! Distance to the lowest polymorph of the same formula ... 231 meV per atom
&SYSTEM
  ibrav = 0, nat = 12, ntyp = 3
/
ATOMIC_SPECIES
U 238.03 U.upf
Ti 47.87 Ti.upf
Rh 102.91 Rh.upf
CELL_PARAMETERS angstrom
2.919 0.000 0.000
-1.460 2.528 0.000
0.000 0.000 27.039
ATOMIC_POSITIONS crystal
U 0.000 0.000 0.000
U 0.333 0.667 0.667
U 0.667 0.333 0.333
Ti 0.000 0.000 0.500
Ti 0.333 0.667 0.167
Ti 0.667 0.333 0.833
Rh 0.000 0.000 0.240
Rh 0.000 0.000 0.760
Rh 0.333 0.667 0.426
Rh 0.333 0.667 0.907
Rh 0.667 0.333 0.093
Rh 0.667 0.333 0.574

Entry 21:
! UTiRh2 GGA-PBE optimized geometry; values from VASP
! DOS(E_F) ... 1.41 states/eV/atom
! M_tot ... 1.54 Bohr magnetons per cell
! Distance to the lowest polymorph of the same formula ... 0 meV per atom
&SYSTEM
  ibrav = 0, nat = 4, ntyp = 3
/
ATOMIC_SPECIES
U 238.03 U.upf
Ti 47.87 Ti.upf
Rh 102.91 Rh.upf
CELL_PARAMETERS angstrom
3.054 0.000 0.000
0.000 3.054 0.000
0.000 0.000 7.256
ATOMIC_POSITIONS crystal
U 0.000 0.000 0.000
Ti 0.000 0.000 0.500
Rh 0.500 0.500 0.288
Rh 0.500 0.500 0.712

Entry 22:
! UTiRh2 GGA-PBE optimized geometry; values from VASP
! DOS(E_F) ... 1.40 states/eV/atom
! M_tot ... 2.60 Bohr magnetons per cell
! Distance to the lowest polymorph of the same formula ... 71 meV per atom
&SYSTEM
  ibrav = 0, nat = 4, ntyp = 3
/
ATOMIC_SPECIES
U 238.03 U.upf
Ti 47.87 Ti.upf
Rh 102.91 Rh.upf
CELL_PARAMETERS angstrom
4.240 0.000 0.000
0.000 4.240 0.000
0.000 0.000 3.831
ATOMIC_POSITIONS crystal
U 0.000 0.000 0.000
Ti 0.500 0.500 0.000
Rh 0.000 0.500 0.500
Rh 0.500 0.000 0.500

Entry 23:
! UTiRh4 GGA-PBE optimized geometry; values from VASP
! DOS(E_F) ... 1.12 states/eV/atom
! M_tot ... 0.00 Bohr magnetons per cell
&SYSTEM
  ibrav = 0, nat = 24, ntyp = 3
/
ATOMIC_SPECIES
U 238.03 U.upf
Ti 47.87 Ti.upf
Rh 102.91 Rh.upf
CELL_PARAMETERS angstrom
6.771 0.000 0.000
0.000 4.020 0.000
0.000 0.000 14.551
ATOMIC_POSITIONS crystal
U 0.140 0.250 0.210
U 0.360 0.750 0.710
U 0.640 0.250 0.290
U 0.860 0.750 0.790
Ti 0.187 0.750 0.475
Ti 0.313 0.250 0.975
Ti 0.687 0.750 0.025
Ti 0.813 0.250 0.525
Rh 0.036 0.750 0.936
Rh 0.069 0.250 0.376
Rh 0.160 0.250 0.802
Rh 0.209 0.250 0.593
Rh 0.291 0.750 0.093
Rh 0.340 0.750 0.302
Rh 0.431 0.750 0.876
Rh 0.464 0.250 0.436
Rh 0.536 0.750 0.564
Rh 0.569 0.250 0.124
Rh 0.660 0.250 0.698
Rh 0.709 0.250 0.907
Rh 0.791 0.750 0.407
Rh 0.840 0.750 0.198
Rh 0.931 0.750 0.624
Rh 0.964 0.250 0.064

Entry 24:
! TiVRh2 GGA-PBE optimized geometry; values from VASP
! DOS(E_F) ... 0.95 states/eV/atom
! M_tot ... 2.87 Bohr magnetons per cell
! Distance to the lowest polymorph of the same formula ... 0 meV per atom
&SYSTEM
  ibrav = 0, nat = 8, ntyp = 3
/
ATOMIC_SPECIES
Ti 47.87 Ti.upf
V 50.94 V.upf
Rh 102.91 Rh.upf
CELL_PARAMETERS angstrom
0.000 4.054 4.082
3.488 0.000 4.082
3.488 4.054 0.000
ATOMIC_POSITIONS crystal
Ti 0.239 0.239 0.761
Ti 0.761 0.761 0.239
V 0.235 0.765 0.235
V 0.765 0.235 0.765
Rh 0.250 0.250 0.250
Rh 0.277 0.723 0.723
Rh 0.723 0.277 0.277
Rh 0.750 0.750 0.750

Number 1: energy of formation from the pure elements -0.781 eV per atom. Number 2: energy of formation from the pure elements 0.050 eV per atom. Number 3: energy of formation from the pure elements -0.734 eV per atom. Number 4: energy of formation from the pure elements -0.263 eV per atom. Number 5: energy of formation from the pure elements -0.076 eV per atom. Number 6: energy of formation from the pure elements 0.682 eV per atom. Number 7: energy of formation from the pure elements 1.056 eV per atom. Number 8: energy of formation from the pure elements -0.282 eV per atom. Number 9: energy of formation from the pure elements -0.481 eV per atom. Number 10: energy of formation from the pure elements 0.054 eV per atom. Number 11: energy of formation from the pure elements 1.297 eV per atom. Number 12: energy of formation from the pure elements 0.200 eV per atom. Number 13: energy of formation from the pure elements -0.371 eV per atom. Number 14: energy of formation from the pure elements -0.779 eV per atom. Number 15: energy of formation from the pure elements -0.885 eV per atom. Number 16: energy of formation from the pure elements -0.500 eV per atom. Number 17: energy of formation from the pure elements -0.534 eV per atom. Number 18: energy of formation from the pure elements -0.899 eV per atom. Number 19: energy of formation from the pure elements -0.657 eV per atom. Number 20: energy of formation from the pure elements -0.314 eV per atom. Number 21: energy of formation from the pure elements -0.545 eV per atom. Number 22: energy of formation from the pure elements -0.473 eV per atom. Number 23: energy of formation from the pure elements -0.519 eV per atom. Number 24: energy of formation from the pure elements -0.529 eV per atom.